Record 1
The following is a DFT calculation (GGA-PBE) of a relaxed structure of BSbI2F.

a = 5.9313 Å, b = 5.9313 Å, c = 4.2017 Å
α = 90.00°, β = 90.00°, γ = 90.00°
Last column: nearest neighbours and their distance in Å.
Atoms (fractional coordinates):
B: 0.0000 0.0000 0.0000  8 I 3.63
Sb: 0.5000 0.5000 0.0000  2 F 2.10
I: 0.0000 0.5000 0.5000  2 F 2.97
I: 0.5000 0.0000 0.5000  2 F 2.97
F: 0.5000 0.5000 0.5000  2 Sb 2.10

Properties
crystal system = tetragonal
E above lowest polymorph = 404.4 meV per atom

Record 2
The following is a DFT calculation (GGA-PBE) of a relaxed structure of ScBI2F.

a = 5.5509 Å, b = 5.5509 Å, c = 4.8433 Å
α = 90.00°, β = 90.00°, γ = 90.00°
Last column: nearest neighbours and their distance in Å.
Atoms (fractional coordinates):
Sc: 0.0000 0.0000 0.0000  2 B 2.42
B: 0.0000 0.0000 0.5000  2 Sc 2.42
I: 0.0000 0.5000 0.0000  2 Sc 2.78
I: 0.5000 0.0000 0.0000  2 Sc 2.78
F: 0.5000 0.5000 0.5000  8 I 3.68, 4 B 3.93

Properties
crystal system = tetragonal

Record 3
The following is a DFT calculation (GGA-PBE) of a relaxed structure of B2SeIF.

a = 4.6315 Å, b = 4.6315 Å, c = 4.3191 Å
α = 90.00°, β = 90.00°, γ = 90.00°
Last column: nearest neighbours and their distance in Å.
Atoms (fractional coordinates):
B: 0.0000 0.5000 0.0000  2 I 2.32
B: 0.5000 0.0000 0.0000  2 I 2.32
Se: 0.0000 0.0000 0.5000  8 B 3.17, 4 F 3.27
I: 0.5000 0.5000 0.0000  2 F 2.16, 4 B 2.32
F: 0.5000 0.5000 0.5000  2 I 2.16

Properties
crystal system = tetragonal

Record 4
The following is a DFT calculation (GGA-PBE) of a relaxed structure of BTeI2F.

a = 5.9338 Å, b = 5.9338 Å, c = 4.2220 Å
α = 90.00°, β = 90.00°, γ = 90.00°
Last column: nearest neighbours and their distance in Å.
Atoms (fractional coordinates):
B: 0.0000 0.0000 0.0000  8 I 3.64
Te: 0.5000 0.5000 0.0000  2 F 2.11
I: 0.0000 0.5000 0.5000  2 F 2.97
I: 0.5000 0.0000 0.5000  2 F 2.97
F: 0.5000 0.5000 0.5000  2 Te 2.11

Properties
crystal system = tetragonal
E above lowest polymorph = 276.1 meV per atom

Record 5
The following is a DFT calculation (GGA-PBE) of a relaxed structure of BTeI2F.

a = 5.0498 Å, b = 5.0498 Å, c = 4.7634 Å
α = 90.00°, β = 90.00°, γ = 90.00°
Last column: nearest neighbours and their distance in Å.
Atoms (fractional coordinates):
B: 0.0000 0.0000 0.0000  2 Te 2.38, 4 I 2.52
Te: 0.0000 0.0000 0.5000  2 B 2.38
I: 0.0000 0.5000 0.0000  2 B 2.52
I: 0.5000 0.0000 0.0000  2 B 2.52
F: 0.5000 0.5000 0.5000  8 I 3.47, 4 Te 3.57

Properties
crystal system = tetragonal
E above lowest polymorph = 0.0 meV per atom

Record 6
The following is a DFT calculation (GGA-PBE) of a relaxed structure of InB3F.

a = 3.9852 Å, b = 3.9852 Å, c = 3.9852 Å
α = 90.00°, β = 90.00°, γ = 90.00°
Last column: nearest neighbours and their distance in Å.
Atoms (fractional coordinates):
In: 0.0000 0.0000 0.0000  12 B 2.82
B: 0.0000 0.5000 0.5000  2 F 1.99
B: 0.5000 0.0000 0.5000  2 F 1.99
B: 0.5000 0.5000 0.0000  2 F 1.99
F: 0.5000 0.5000 0.5000  6 B 1.99

Properties
crystal system = cubic
E above lowest polymorph = 0.0 meV per atom

Record 7
The following is a DFT calculation (GGA-PBE) of a relaxed structure of InB3F.

a = 4.5603 Å, b = 4.5603 Å, c = 4.5603 Å
α = 90.00°, β = 90.00°, γ = 90.00°
Last column: nearest neighbours and their distance in Å.
Atoms (fractional coordinates):
In: 0.0000 0.0000 0.0000  6 B 2.28
B: 0.0000 0.0000 0.5000  2 In 2.28
B: 0.0000 0.5000 0.0000  2 In 2.28
B: 0.5000 0.0000 0.0000  2 In 2.28
F: 0.5000 0.5000 0.5000  12 B 3.22

Properties
crystal system = cubic
E above lowest polymorph = 319.5 meV per atom

Record 8
The following is a DFT calculation (GGA-PBE) of a relaxed structure of InBF6.

a = 5.1203 Å, b = 5.1203 Å, c = 5.1203 Å
α = 56.51°, β = 56.51°, γ = 56.51°
Last column: nearest neighbours and their distance in Å.
Atoms (fractional coordinates):
In: 0.0000 0.0000 0.0000  6 F 2.12
B: 0.5000 0.5000 0.5000  6 F 1.63
F: 0.1567 0.7069 0.4176  1 B 1.63
F: 0.2931 0.5824 0.8433  1 B 1.63
F: 0.4176 0.1567 0.7069  1 B 1.63
F: 0.5824 0.8433 0.2931  1 B 1.63
F: 0.7069 0.4176 0.1567  1 B 1.63
F: 0.8433 0.2931 0.5824  1 B 1.63

Properties
crystal system = trigonal

Record 9
The following is a DFT calculation (GGA-PBE) of a relaxed structure of In2BF4.

a = 3.4028 Å, b = 4.8517 Å, c = 20.2354 Å
α = 88.17°, β = 89.79°, γ = 89.87°
Last column: nearest neighbours and their distance in Å.
Atoms (fractional coordinates):
In: 0.2481 0.2681 0.0521  3 F 2.36-2.39
In: 0.2488 0.2472 0.5278  6 In 3.16-3.40
In: 0.7512 0.7528 0.4722  6 In 3.16-3.40
In: 0.7519 0.7319 0.9479  3 F 2.36-2.39
B: 0.5000 0.3276 0.2669  3 F 1.33
B: 0.5000 0.6724 0.7331  3 F 1.33
F: 0.2508 0.0697 0.9457  3 In 2.36-2.39
F: 0.2621 0.7870 0.7769  1 B 1.33
F: 0.3832 0.5870 0.2576  1 B 1.33
F: 0.3857 0.1838 0.3204  1 B 1.33
F: 0.6143 0.8162 0.6796  1 B 1.33
F: 0.6168 0.4130 0.7424  1 B 1.33
F: 0.7379 0.2130 0.2231  1 B 1.33
F: 0.7492 0.9303 0.0543  3 In 2.36-2.39

Properties
crystal system = triclinic

Record 10
The following is a DFT calculation (GGA-PBE) of a relaxed structure of In2BF6.

a = 5.1093 Å, b = 5.1093 Å, c = 5.4098 Å
α = 94.08°, β = 94.08°, γ = 57.79°
Last column: nearest neighbours and their distance in Å.
Atoms (fractional coordinates):
In: 0.2032 0.2032 0.3419  3 F 2.20-2.27
In: 0.7968 0.7968 0.6581  3 F 2.20-2.27
B: 0.5000 0.5000 0.0000  6 F 1.62-1.68
F: 0.2627 0.7235 0.7875  1 B 1.62
F: 0.2765 0.7373 0.2125  1 B 1.62
F: 0.3121 0.3121 0.9913  1 B 1.68
F: 0.6879 0.6879 0.0087  1 B 1.68
F: 0.7235 0.2627 0.7875  1 B 1.62
F: 0.7373 0.2765 0.2125  1 B 1.62

Properties
crystal system = monoclinic
E above lowest polymorph = 332.4 meV per atom

Record 11
The following is a DFT calculation (GGA-PBE) of a relaxed structure of In3BF.

a = 4.8481 Å, b = 4.8481 Å, c = 4.8481 Å
α = 90.00°, β = 90.00°, γ = 90.00°
Last column: nearest neighbours and their distance in Å.
Atoms (fractional coordinates):
In: 0.0000 0.0000 0.5000  2 B 2.42
In: 0.0000 0.5000 0.0000  2 B 2.42
In: 0.5000 0.0000 0.0000  2 B 2.42
B: 0.0000 0.0000 0.0000  6 In 2.42
F: 0.5000 0.5000 0.5000  12 In 3.43

Properties
crystal system = cubic
E above lowest polymorph = 0.0 meV per atom

Record 12
The following is a DFT calculation (GGA-PBE) of a relaxed structure of InBF2.

a = 5.5664 Å, b = 5.5664 Å, c = 8.6388 Å
α = 90.00°, β = 90.00°, γ = 90.00°
Last column: nearest neighbours and their distance in Å.
Atoms (fractional coordinates):
In: 0.0000 0.2500 0.3750  12 F 3.29-3.53, 4 B 3.52, 4 In 3.52
In: 0.0000 0.7500 0.6250  12 F 3.29-3.53, 4 B 3.52, 4 In 3.52
In: 0.5000 0.2500 0.1250  12 F 3.29-3.53, 4 In 3.52, 4 B 3.52
In: 0.5000 0.7500 0.8750  12 F 3.29-3.53, 4 In 3.52, 4 B 3.52
B: 0.0000 0.2500 0.8750  4 F 1.76
B: 0.0000 0.7500 0.1250  4 F 1.76
B: 0.5000 0.2500 0.6250  4 F 1.76
B: 0.5000 0.7500 0.3750  4 F 1.76
F: 0.0000 0.0000 0.0000  2 B 1.76
F: 0.0000 0.5000 0.0000  2 B 1.76
F: 0.2500 0.2500 0.7500  2 B 1.76
F: 0.2500 0.7500 0.2500  2 B 1.76
F: 0.5000 0.0000 0.5000  2 B 1.76
F: 0.5000 0.5000 0.5000  2 B 1.76
F: 0.7500 0.2500 0.7500  2 B 1.76
F: 0.7500 0.7500 0.2500  2 B 1.76

Properties
crystal system = tetragonal
E above lowest polymorph = 463.8 meV per atom

| no. | total moment (μB/f.u.) | ΔE_f (raw) (meV per atom) |
| --- | --- | --- |
| 1 | 0.0 | 640 |
| 2 | 0.2 | 114 |
| 3 | 0.0 | 1433 |
| 4 | 0.0 | 804 |
| 5 | 0.0 | 528 |
| 6 | 0.0 | 1719 |
| 7 | 0.0 | 2039 |
| 8 | 0.0 | -2273 |
| 9 | 0.0 | -1987 |
| 10 | 0.0 | -2014 |
| 11 | 0.0 | 58 |
| 12 | 0.4 | -412 |